ZnNiI2O: optimized geometry, PBE with a Hubbard U.

a = 5.8967 Å, b = 5.8967 Å, c = 3.5916 Å
α = 90.00°, β = 90.00°, γ = 90.00°
Closest atoms and distances in Å follow each position.
Positions (direct):
Zn  0.0000  0.0000  0.0000  2 O 1.80
Ni  0.5000  0.5000  0.5000  8 I 3.45, 2 Ni 3.59
I  0.0000  0.5000  0.0000  2 Zn 2.95
I  0.5000  0.0000  0.0000  2 Zn 2.95
O  0.0000  0.0000  0.5000  2 Zn 1.80

Summary:
As for the total energy: -2.25 eV/atom. The total magnetization is 1.529 μB per formula unit.